No. 1
Here is a relaxed structure of Hg2Mo2O7 from Alexandria. Energies are from PBE with a Hubbard U.

Summary:
- Crystal system: monoclinic
- Offset from the most stable computed form: 0.8 meV per atom

a = 7.3465 Å, b = 7.3465 Å, c = 14.9399 Å
α = 77.15°, β = 77.15°, γ = 65.34°
Fractional positions:
Hg 0.7591 0.0816 0.5649
Hg 0.2409 0.9184 0.4351
Hg 0.9184 0.2409 0.9351
Hg 0.0816 0.7591 0.0649
Hg 0.2545 0.6101 0.5621
Hg 0.7455 0.3899 0.4379
Hg 0.6101 0.2545 0.0621
Hg 0.3899 0.7455 0.9379
Mo 0.1525 0.1616 0.1850
Mo 0.3386 0.3563 0.3109
Mo 0.3563 0.3386 0.8109
Mo 0.8475 0.8384 0.8150
Mo 0.1616 0.1525 0.6850
Mo 0.8384 0.8475 0.3150
Mo 0.6437 0.6614 0.1891
Mo 0.6614 0.6437 0.6891
O 0.8956 0.8069 0.4267
O 0.9994 0.0006 0.2500
O 0.2721 0.3610 0.6706
O 0.1855 0.1816 0.3302
O 0.1931 0.1044 0.0733
O 0.1816 0.1855 0.8302
O 0.1044 0.1931 0.5733
O 0.8674 0.4106 0.7164
O 0.6521 0.6410 0.5740
O 0.9418 0.3998 0.1806
O 0.5894 0.1326 0.7836
O 0.1326 0.5894 0.2836
O 0.3998 0.9418 0.6806
O 0.7279 0.6390 0.3294
O 0.8069 0.8956 0.9267
O 0.8145 0.8184 0.6698
O 0.6002 0.0582 0.3194
O 0.0006 0.9994 0.7500
O 0.5550 0.4450 0.2500
O 0.3610 0.2721 0.1706
O 0.3590 0.3479 0.9260
O 0.6390 0.7279 0.8294
O 0.6410 0.6521 0.0740
O 0.4450 0.5550 0.7500
O 0.4106 0.8674 0.2164
O 0.3479 0.3590 0.4260
O 0.8184 0.8145 0.1698
O 0.0582 0.6002 0.8194

---

No. 2
Here is a relaxed structure of HgMoO2 from Alexandria. Energies are from PBE with a Hubbard U.

Summary:
- Crystal system: cubic
- E_tot: -5.253 eV per atom

a = 6.3267 Å, b = 6.3267 Å, c = 6.3257 Å
α = 59.99°, β = 59.99°, γ = 90.00°
Last column: magnetic moment on the atom in μB.
Fractional positions:
Mo 0.5000 0.5000 0.0000  1.88
Mo 0.2500 0.7500 0.5000  1.88
Hg 0.0000 0.0000 0.0000  0.00
Hg 0.7500 0.2500 0.5000  0.00
O 0.3751 0.1250 0.2500  0.02
O 0.3749 0.6250 0.2500  0.01
O 0.3750 0.6249 0.7500  0.01
O 0.8750 0.6251 0.7500  0.00

---

No. 3
Here is a relaxed structure of HgMoO3 from Alexandria. Energies are from PBE with a Hubbard U.

Summary:
- Crystal system: cubic
- E_tot: -3.940 eV per atom

a = 4.1536 Å, b = 4.1536 Å, c = 4.1536 Å
α = 90.00°, β = 90.00°, γ = 90.00°
Last column: magnetic moment on the atom in μB.
Fractional positions:
Mo 0.5000 0.5000 0.5000  3.63
Hg 0.0000 0.0000 0.0000  -0.01
O 0.0000 0.5000 0.0000  -0.18
O 0.0000 0.0000 0.5000  -0.10
O 0.5000 0.0000 0.0000  -0.14

---

No. 4
Here is a relaxed structure of Hg2Mo2O7 from Alexandria. Energies are from PBE with a Hubbard U.

Summary:
- Crystal system: monoclinic
- Offset from the most stable computed form: 53.9 meV per atom

a = 6.3980 Å, b = 6.3192 Å, c = 6.3192 Å
α = 90.09°, β = 99.73°, γ = 99.73°
Fractional positions:
Hg 0.0000 0.3550 0.6450
Hg 0.0000 0.6450 0.3550
Mo 0.3472 0.1593 0.1593
Mo 0.6528 0.8407 0.8407
O 0.8166 0.0139 0.6875
O 0.1834 0.3125 0.9861
O 0.1834 0.9861 0.3125
O 0.8166 0.6875 0.0139
O 0.5000 0.0000 0.0000
O 0.4691 0.6635 0.6635
O 0.5309 0.3365 0.3365

---

no.,total magnetization (μB per cell)
1,0.0
2,4.0
3,3.5
4,0.0